No. 1
BaVHg2 after structural relaxation, computed with PBE. Values from VASP.

Summary:
As for the total energy: -2.619 eV/atom. For the formation energy from the elements, the calculation gives 0.292 eV per atom. The magnetic moment comes out at 7.45 μB/cell.

Geometry as Quantum ESPRESSO input:
```
&SYSTEM
  ibrav = 0, nat = 8, ntyp = 3
/
ATOMIC_SPECIES
Ba 137.33 Ba.upf
Hg 200.59 Hg.upf
V 50.94 V.upf
CELL_PARAMETERS angstrom
5.419 0.000 0.000
0.000 5.419 0.000
2.709 2.709 9.524
ATOMIC_POSITIONS angstrom
Ba 0.000 0.000 0.000
Ba 5.419 2.709 4.762
Hg 3.234 1.355 2.381
Hg 2.184 4.064 2.381
Hg 4.064 4.894 7.143
Hg 6.773 5.944 7.143
V 2.709 2.709 0.000
V 2.709 5.419 4.762
```

No. 2
BaV2HgW after structural relaxation, computed with PBE. Values from VASP.

Summary:
As for the total energy: -4.689 eV/atom. For the formation energy from the elements, the calculation gives 1.994 eV per atom. The magnetic moment comes out at 2.20 μB/cell.

Geometry as Quantum ESPRESSO input:
```
&SYSTEM
  ibrav = 0, nat = 5, ntyp = 4
/
ATOMIC_SPECIES
V 50.94 V.upf
Hg 200.59 Hg.upf
W 183.84 W.upf
Ba 137.33 Ba.upf
CELL_PARAMETERS angstrom
5.080 0.000 0.000
0.000 5.280 0.000
0.000 0.000 5.080
ATOMIC_POSITIONS angstrom
V 0.000 0.000 2.540
V 2.540 0.000 0.000
Hg 0.000 0.000 0.000
W 0.000 2.640 0.000
Ba 2.540 2.640 2.540
```

No. 3
BaHgW2 after structural relaxation, computed with PBE. Values from VASP.

Summary:
As for the total energy: -6.071 eV/atom. For the formation energy from the elements, the calculation gives 0.961 eV per atom. The magnetic moment comes out at 0.00 μB/cell.

Geometry as Quantum ESPRESSO input:
```
&SYSTEM
  ibrav = 0, nat = 4, ntyp = 3
/
ATOMIC_SPECIES
Hg 200.59 Hg.upf
W 183.84 W.upf
Ba 137.33 Ba.upf
CELL_PARAMETERS angstrom
-4.997 -1.069 2.226
-3.562 -3.984 1.582
1.469 -0.582 5.909
ATOMIC_POSITIONS angstrom
Hg -1.773 -1.409 2.429
W -8.171 -4.995 4.412
W -3.934 -2.875 4.254
Ba -5.318 -4.226 7.288
```

No. 4
Ba2HgW after structural relaxation, computed with PBE. Values from VASP.

Summary:
As for the total energy: -3.313 eV/atom. For the formation energy from the elements, the calculation gives 0.962 eV per atom. The magnetic moment comes out at 2.90 μB/cell.

Geometry as Quantum ESPRESSO input:
```
&SYSTEM
  ibrav = 0, nat = 4, ntyp = 3
/
ATOMIC_SPECIES
Hg 200.59 Hg.upf
W 183.84 W.upf
Ba 137.33 Ba.upf
CELL_PARAMETERS angstrom
6.312 -0.001 0.000
2.370 5.849 0.000
-4.341 -2.924 3.527
ATOMIC_POSITIONS angstrom
Hg 4.341 2.924 0.000
W 3.156 0.000 1.763
Ba 0.000 0.000 0.000
Ba 1.185 2.925 1.763
```

No. 5
BaHg2W after structural relaxation, computed with PBE. Values from VASP.

Summary:
As for the total energy: -3.152 eV/atom. For the formation energy from the elements, the calculation gives 0.717 eV per atom. For the distance to the lowest polymorph of the same formula, the calculation gives 110 meV/atom. The magnetic moment comes out at 1.15 μB/cell.

Geometry as Quantum ESPRESSO input:
```
&SYSTEM
  ibrav = 0, nat = 4, ntyp = 3
/
ATOMIC_SPECIES
Hg 200.59 Hg.upf
W 183.84 W.upf
Ba 137.33 Ba.upf
CELL_PARAMETERS angstrom
-2.278 -4.379 1.063
-1.422 -4.384 -2.062
5.683 -3.728 1.562
ATOMIC_POSITIONS angstrom
Hg 5.258 -3.575 1.446
Hg 1.417 -6.398 0.399
W 1.487 -9.368 0.423
Ba 0.496 -3.123 0.141
```

No. 6
BaHg2W after structural relaxation, computed with PBE. Values from VASP.

Summary:
As for the total energy: -3.125 eV/atom. For the formation energy from the elements, the calculation gives 0.745 eV per atom. For the distance to the lowest polymorph of the same formula, the calculation gives 137 meV/atom. The magnetic moment comes out at 0.00 μB/cell.

Geometry as Quantum ESPRESSO input:
```
&SYSTEM
  ibrav = 0, nat = 4, ntyp = 3
/
ATOMIC_SPECIES
Hg 200.59 Hg.upf
W 183.84 W.upf
Ba 137.33 Ba.upf
CELL_PARAMETERS angstrom
-0.324 -0.884 3.053
-1.226 -2.755 -1.057
8.867 -3.876 -0.182
ATOMIC_POSITIONS angstrom
Hg 0.247 -0.108 -0.005
Hg 1.619 -2.866 0.949
W 4.101 -1.793 -0.084
Ba 5.784 -4.687 0.863
```

No. 7
BaHgW2 after structural relaxation, computed with PBE. Values from VASP.

Summary:
As for the total energy: -5.746 eV/atom. For the formation energy from the elements, the calculation gives 1.287 eV per atom. The magnetic moment comes out at 0.00 μB/cell.

Geometry as Quantum ESPRESSO input:
```
&SYSTEM
  ibrav = 0, nat = 8, ntyp = 3
/
ATOMIC_SPECIES
Hg 200.59 Hg.upf
W 183.84 W.upf
Ba 137.33 Ba.upf
CELL_PARAMETERS angstrom
-0.717 -1.990 4.385
3.322 -3.414 -1.006
8.594 3.246 5.581
ATOMIC_POSITIONS angstrom
Hg 0.000 0.000 0.000
Hg 4.590 -0.723 5.828
W 1.936 -1.357 5.107
W 3.597 -3.063 4.603
W 6.591 1.262 5.705
W 6.233 0.266 7.897
Ba 1.303 -2.702 1.690
Ba 6.609 -1.435 3.132
```

No. 8
BaHg2W after structural relaxation, computed with PBE. Values from VASP.

Summary:
As for the total energy: -3.095 eV/atom. For the formation energy from the elements, the calculation gives 0.775 eV per atom. For the distance to the lowest polymorph of the same formula, the calculation gives 167 meV/atom. The magnetic moment comes out at 0.00 μB/cell.

Geometry as Quantum ESPRESSO input:
```
&SYSTEM
  ibrav = 0, nat = 4, ntyp = 3
/
ATOMIC_SPECIES
Hg 200.59 Hg.upf
W 183.84 W.upf
Ba 137.33 Ba.upf
CELL_PARAMETERS angstrom
-4.395 -1.871 2.415
-2.021 -1.974 4.546
-2.325 5.774 2.870
ATOMIC_POSITIONS angstrom
Hg -8.642 1.701 9.709
Hg -6.484 0.976 7.270
W -4.658 1.601 5.266
Ba -2.071 0.544 2.333
```

No. 9
BaHgW3 after structural relaxation, computed with PBE. Values from VASP.

Summary:
As for the total energy: -5.464 eV/atom. For the formation energy from the elements, the calculation gives 2.753 eV per atom. For the distance to the lowest polymorph of the same formula, the calculation gives 0 meV/atom. The magnetic moment comes out at 0.00 μB/cell.

Geometry as Quantum ESPRESSO input:
```
&SYSTEM
  ibrav = 0, nat = 5, ntyp = 3
/
ATOMIC_SPECIES
Hg 200.59 Hg.upf
W 183.84 W.upf
Ba 137.33 Ba.upf
CELL_PARAMETERS angstrom
-4.763 -1.647 -0.953
0.606 -3.748 3.449
-1.804 3.090 3.675
ATOMIC_POSITIONS angstrom
Hg 0.000 0.000 0.000
W 0.303 -1.874 1.724
W -0.902 1.545 1.838
W -2.382 -0.824 -0.477
Ba -2.981 -1.153 3.085
```

No. 10
BaHgW2 after structural relaxation, computed with PBE. Values from VASP.

Summary:
As for the total energy: -5.467 eV/atom. For the formation energy from the elements, the calculation gives 1.565 eV per atom. The magnetic moment comes out at 0.00 μB/cell.

Geometry as Quantum ESPRESSO input:
```
&SYSTEM
  ibrav = 0, nat = 4, ntyp = 3
/
ATOMIC_SPECIES
Hg 200.59 Hg.upf
W 183.84 W.upf
Ba 137.33 Ba.upf
CELL_PARAMETERS angstrom
-2.593 -0.920 -5.382
2.465 -4.601 3.048
-2.504 -0.487 1.290
ATOMIC_POSITIONS angstrom
Hg -0.020 -2.544 2.169
W 0.000 0.000 0.000
W -0.064 -2.760 -1.167
Ba -2.548 -0.703 -2.046
```

No. 11
Ba2HgW after structural relaxation, computed with PBE. Values from VASP.

Summary:
As for the total energy: -3.317 eV/atom. For the formation energy from the elements, the calculation gives 0.958 eV per atom. The magnetic moment comes out at 4.30 μB/cell.

Geometry as Quantum ESPRESSO input:
```
&SYSTEM
  ibrav = 0, nat = 4, ntyp = 3
/
ATOMIC_SPECIES
Hg 200.59 Hg.upf
W 183.84 W.upf
Ba 137.33 Ba.upf
CELL_PARAMETERS angstrom
5.626 0.000 0.000
2.813 4.872 0.000
2.813 1.624 4.594
ATOMIC_POSITIONS angstrom
Hg 5.626 3.248 2.297
W 8.439 4.872 3.445
Ba 0.000 0.000 0.000
Ba 2.813 1.624 1.148
```

No. 12
BaHgW2 after structural relaxation, computed with PBE. Values from VASP.

Summary:
As for the total energy: -5.636 eV/atom. For the formation energy from the elements, the calculation gives 1.397 eV per atom. The magnetic moment comes out at 0.00 μB/cell.

Geometry as Quantum ESPRESSO input:
```
&SYSTEM
  ibrav = 0, nat = 4, ntyp = 3
/
ATOMIC_SPECIES
Hg 200.59 Hg.upf
W 183.84 W.upf
Ba 137.33 Ba.upf
CELL_PARAMETERS angstrom
-2.546 -2.856 4.043
-2.412 -0.704 -5.669
1.107 -2.587 -0.773
ATOMIC_POSITIONS angstrom
Hg -2.479 -1.780 -0.813
W 0.000 0.000 0.000
W -0.719 -2.722 1.635
Ba -0.653 -1.646 -3.221
```

Here are the calculated density of states at the Fermi level numbers, same order: 9.744 14.188 3.333 4.889 3.415 2.540 8.474 3.916 15.913 4.226 3.902 3.769 (states/eV per cell).